No. 1
# La2YBe (PBE, relaxed)
# calculated density: 5.240 g/cm3
# E_form: 0.3353 eV/atom
# energy: -4.676 eV per atom
# volume: 119.1 Å³/f.u.
data_La2YBe
_symmetry_space_group_name_H-M 'P 1'
_symmetry_Int_Tables_number 1
_cell_length_a 8.763
_cell_length_b 8.763
_cell_length_c 6.929
_cell_angle_alpha 50.78
_cell_angle_beta 50.78
_cell_angle_gamma 90.00
loop_
_symmetry_equiv_pos_as_xyz
'x,y,z'
loop_
_atom_site_label
_atom_site_type_symbol
_atom_site_fract_x
_atom_site_fract_y
_atom_site_fract_z
Y1 Y 0.750 0.250 0.500
Y2 Y 0.000 0.000 0.000
La1 La 0.185 0.625 0.250
La2 La 0.375 0.435 0.750
La3 La 0.565 0.125 0.250
La4 La 0.875 0.815 0.750
Be1 Be 0.250 0.750 0.500
Be2 Be 0.500 0.500 0.000

No. 2
# K5InHg6 (PBE, relaxed)
# calculated density: 6.075 g/cm3
# E_form: -0.2078 eV/atom
# energy: -1.044 eV per atom
# volume: 413.8 Å³/f.u.
data_K5InHg6
_symmetry_space_group_name_H-M 'P 1'
_symmetry_Int_Tables_number 1
_cell_length_a 5.861
_cell_length_b 10.136
_cell_length_c 10.136
_cell_angle_alpha 121.66
_cell_angle_beta 106.71
_cell_angle_gamma 106.71
loop_
_symmetry_equiv_pos_as_xyz
'x,y,z'
loop_
_atom_site_label
_atom_site_type_symbol
_atom_site_fract_x
_atom_site_fract_y
_atom_site_fract_z
K1 K 0.500 0.813 0.187
K2 K 0.000 0.658 0.342
K3 K 0.500 0.500 0.500
K4 K 0.000 0.342 0.658
K5 K 0.500 0.187 0.813
Hg1 Hg 0.699 0.200 0.200
Hg2 Hg 0.301 0.800 0.800
Hg3 Hg 0.214 0.061 0.364
Hg4 Hg 0.786 0.939 0.636
Hg5 Hg 0.214 0.364 0.061
Hg6 Hg 0.786 0.636 0.939
In1 In 0.000 0.000 0.000

No. 3
# HgB (PBE, relaxed)
# calculated density: 9.000 g/cm3
# energy above the most stable polymorph in this dataset: 0.032 eV/atom
# E_form: 0.5116 eV/atom
# energy: -2.978 eV per atom
# volume: 39.0 Å³/f.u.
data_HgB
_symmetry_space_group_name_H-M 'P 1'
_symmetry_Int_Tables_number 1
_cell_length_a 7.184
_cell_length_b 6.065
_cell_length_c 7.161
_cell_angle_alpha 90.00
_cell_angle_beta 90.00
_cell_angle_gamma 90.00
loop_
_symmetry_equiv_pos_as_xyz
'x,y,z'
loop_
_atom_site_label
_atom_site_type_symbol
_atom_site_fract_x
_atom_site_fract_y
_atom_site_fract_z
Hg1 Hg 0.760 0.499 0.270
Hg2 Hg 0.260 0.499 0.230
Hg3 Hg 0.740 0.501 0.770
Hg4 Hg 0.760 0.001 0.270
Hg5 Hg 0.740 0.999 0.770
Hg6 Hg 0.240 0.501 0.730
Hg7 Hg 0.260 0.001 0.230
Hg8 Hg 0.240 0.999 0.730
B1 B 0.450 0.112 0.953
B2 B 0.050 0.612 0.453
B3 B 0.550 0.888 0.047
B4 B 0.550 0.612 0.047
B5 B 0.950 0.388 0.547
B6 B 0.050 0.888 0.453
B7 B 0.950 0.112 0.547
B8 B 0.450 0.388 0.953